Entry 1:
This record from Alexandria describes an optimized crystal structure of LiHfBe10. The functional is PBE.

## Properties
Total magnetization in μB per atom: 0.0000
Formation enthalpy at 0 K in eV per atom: -0.112

Unit cell a=3.531 b=4.384 c=7.699 alpha=90.00 beta=90.00 gamma=90.00
Atoms (fractional coordinates):
Be: 0.000 0.500 0.814
Be: 0.000 0.500 0.186
Be: 0.500 0.241 0.757
Be: 0.500 0.241 0.243
Be: 0.500 0.759 0.757
Be: 0.500 0.500 0.000
Li: 0.000 0.500 0.500
Be: 0.500 0.000 0.500
Hf: 0.000 0.000 0.000
Be: 0.000 0.000 0.342
Be: 0.500 0.759 0.243
Be: 0.000 0.000 0.658


Entry 2:
This record from Alexandria describes an optimized crystal structure of LiHf2Be. The functional is PBE.

## Properties
Total magnetization in μB per atom: 0.0000
Formation enthalpy at 0 K in eV per atom: 0.554

Unit cell a=7.226 b=7.226 c=5.777 alpha=51.29 beta=51.29 gamma=90.00
Atoms (fractional coordinates):
Li: 0.500 0.500 0.000
Be: 0.750 0.250 0.500
Hf: 0.375 0.357 0.750
Hf: 0.643 0.125 0.250
Hf: 0.107 0.625 0.250
Be: 0.000 0.000 0.000
Hf: 0.875 0.893 0.750
Li: 0.250 0.750 0.500


Entry 3:
This record from Alexandria describes an optimized crystal structure of LiHfBe17. The functional is PBE.

## Properties
Total magnetization in μB per atom: 0.0000
Formation enthalpy at 0 K in eV per atom: -0.099

Unit cell a=5.626 b=5.626 c=5.626 alpha=82.78 beta=82.78 gamma=82.78
Atoms (fractional coordinates):
Be: 0.997 0.709 0.294
Be: 0.010 0.495 0.010
Be: 0.657 0.657 0.151
Be: 0.294 0.709 0.997
Be: 0.709 0.294 0.997
Li: 0.656 0.656 0.656
Hf: 0.339 0.339 0.339
Be: 0.657 0.151 0.657
Be: 0.343 0.343 0.838
Be: 0.010 0.010 0.495
Be: 0.709 0.997 0.294
Be: 0.495 0.010 0.010
Be: 0.098 0.098 0.098
Be: 0.901 0.901 0.901
Be: 0.343 0.838 0.343
Be: 0.151 0.657 0.657
Be: 0.838 0.343 0.343
Be: 0.997 0.294 0.709
Be: 0.294 0.997 0.709


Entry 4:
This record from Alexandria describes an optimized crystal structure of LiHf2Be. The functional is PBE.

## Properties
Total magnetization in μB per atom: 0.0000
Formation enthalpy at 0 K in eV per atom: 0.357

Unit cell a=3.096 b=3.096 c=9.796 alpha=80.91 beta=80.91 gamma=60.00
Atoms (fractional coordinates):
Hf: 0.897 0.897 0.309
Li: 0.000 0.000 0.000
Hf: 0.103 0.103 0.691
Be: 0.500 0.500 0.500


Entry 5:
This record from Alexandria describes an optimized crystal structure of Li2HfBeO4. The functional is PBE.

## Properties
Total magnetization in μB per atom: 0.0000
E_form (uncorrected) in kJ/mol of atoms: -256

Unit cell a=4.545 b=4.545 c=5.265 alpha=115.57 beta=115.57 gamma=90.00
Atoms (fractional coordinates):
O: 0.841 0.409 0.244
Li: 0.486 0.986 0.972
O: 0.403 0.834 0.244
Be: 0.736 0.736 0.472
Hf: 0.986 0.486 0.972
Li: 0.236 0.236 0.472
O: 0.063 0.069 0.700
O: 0.637 0.631 0.700


Entry 6:
This record from Alexandria describes an optimized crystal structure of LiHfBePd. The functional is PBE.

## Properties
Total magnetization in μB per atom: 0.0001
Formation enthalpy at 0 K in eV per atom: -0.198

Unit cell a=4.360 b=4.360 c=4.360 alpha=60.00 beta=60.00 gamma=60.00
Atoms (fractional coordinates):
Pd: 0.250 0.250 0.250
Be: 0.500 0.500 0.500
Li: 0.750 0.750 0.750
Hf: 0.000 0.000 0.000


Entry 7:
This record from Alexandria describes an optimized crystal structure of LiHf2BeSe. The functional is PBE.

## Properties
Total magnetization in μB per atom: 0.0000
E_form (uncorrected) in kJ/mol of atoms: 43

Unit cell a=5.014 b=4.114 c=5.014 alpha=90.00 beta=90.00 gamma=90.00
Atoms (fractional coordinates):
Hf: 0.000 0.000 0.500
Li: 0.500 0.500 0.500
Se: 0.000 0.000 0.000
Be: 0.000 0.500 0.000
Hf: 0.500 0.000 0.000


Entry 8:
This record from Alexandria describes an optimized crystal structure of SrLi2HfBe. The functional is PBE.

## Properties
Total magnetization in μB per atom: 0.2031
Formation enthalpy at 0 K in eV per atom: 0.945

Unit cell a=5.424 b=4.808 c=5.424 alpha=90.00 beta=90.00 gamma=90.00
Atoms (fractional coordinates):
Li: 0.500 0.000 0.000
Be: 0.000 0.500 0.000
Hf: 0.000 0.000 0.000
Li: 0.000 0.000 0.500
Sr: 0.500 0.500 0.500